## CaTiCu2W (PBE-GGA)

Data for an optimized crystal structure of CaTiCu2W.

a = 4.924 Å, b = 4.542 Å, c = 4.924 Å
α = 90.00°, β = 90.00°, γ = 90.00°
Positions (direct):
Ti  0.000  0.500  0.000
Cu  0.500  0.000  0.000
W  0.000  0.000  0.000
Cu  0.000  0.000  0.500
Ca  0.500  0.500  0.500

- Total DFT energy (no corrections): -5.46 eV per atom
- Space group: P4/mmm
- D(E_F): 4.8 states/eV/cell

***

## SrCaAlPb (PBE-GGA)

Data for an optimized crystal structure of SrCaAlPb.

a = 5.571 Å, b = 5.571 Å, c = 5.571 Å
α = 60.00°, β = 60.00°, γ = 60.00°
Positions (direct):
Pb  0.500  0.500  0.500
Al  0.000  0.000  0.000
Sr  0.250  0.250  0.250
Ca  0.750  0.750  0.750

- Total DFT energy (no corrections): -3.09 eV per atom
- Space group: F-43m
- D(E_F): 2.1 states/eV/cell

***

## Nd2DyTh3As6 (PBE-GGA)

Data for an optimized crystal structure of Nd2DyTh3As6.

a = 4.245 Å, b = 8.459 Å, c = 9.475 Å
α = 102.74°, β = 102.94°, γ = 90.00°
Positions (direct):
As  0.666  0.585  0.332
As  0.336  0.920  0.671
As  0.001  0.755  0.002
Dy  0.500  0.000  0.000
Nd  0.834  0.667  0.667
Th  0.833  0.166  0.665
Nd  0.166  0.333  0.333
As  0.664  0.080  0.329
As  0.999  0.245  0.998
Th  0.167  0.834  0.335
As  0.334  0.415  0.668
Th  0.500  0.500  0.000

- Total DFT energy (no corrections): -6.83 eV per atom
- Space group: C2/m
- D(E_F): 5.4 states/eV/cell

***

## Te2AsP (PBE-GGA)

Data for an optimized crystal structure of Te2AsP.

a = 3.880 Å, b = 8.192 Å, c = 3.881 Å
α = 90.00°, β = 90.00°, γ = 90.00°
Positions (direct):
Te  0.500  0.500  0.000
As  0.500  0.000  0.500
Te  0.000  0.000  0.000
P  0.000  0.500  0.500

- Formation energy from raw total energies: 0.475 eV per atom
- Total DFT energy (no corrections): -3.61 eV per atom
- Polymorph energy (0 for the lowest one): 339.1 meV per atom
- Space group: Pmmm
- D(E_F): 1.5 states/eV/cell

***

## LiGaSbI2 (PBE-GGA)

Data for an optimized crystal structure of LiGaSbI2.

a = 6.007 Å, b = 6.007 Å, c = 5.392 Å
α = 90.00°, β = 90.00°, γ = 90.00°
Site moments in Bohr magnetons follow the coordinates.
Positions (direct):
Ga  0.000  0.000  0.000  0.00
I  0.000  0.500  0.000  0.11
Sb  0.000  0.000  0.500  0.54
I  0.500  0.000  0.000  0.11
Li  0.500  0.500  0.500  0.00

- Formation energy from raw total energies: -0.023 eV per atom
- Total DFT energy (no corrections): -2.46 eV per atom
- Polymorph energy (0 for the lowest one): 0.0 meV per atom
- Space group: P4/mmm
- D(E_F): 2.1 states/eV/cell

***

## LiCa2TlO (PBE-GGA)

Data for an optimized crystal structure of LiCa2TlO.

a = 4.731 Å, b = 4.731 Å, c = 4.772 Å
α = 90.00°, β = 90.00°, γ = 90.00°
Positions (direct):
O  0.000  0.000  0.000
Li  0.000  0.000  0.500
Ca  0.500  0.000  0.000
Tl  0.500  0.500  0.500
Ca  0.000  0.500  0.000

- Formation energy from raw total energies: -1.235 eV per atom
- Total DFT energy (no corrections): -3.88 eV per atom
- Space group: P4/mmm
- D(E_F): 3.3 states/eV/cell

***

## Ca2LaReO8 (PBE-GGA)

Data for an optimized crystal structure of Ca2LaReO8.

a = 5.310 Å, b = 4.342 Å, c = 6.760 Å
α = 70.76°, β = 90.00°, γ = 89.56°
Positions (direct):
Ca  0.496  0.619  0.204
La  0.000  0.000  0.500
O  0.496  0.167  0.505
Ca  0.504  0.381  0.796
O  0.992  0.360  0.732
O  0.259  0.182  0.113
O  0.504  0.833  0.495
O  0.741  0.818  0.887
O  0.760  0.192  0.125
O  0.240  0.808  0.875
Re  0.000  0.000  0.000
O  0.008  0.640  0.268

- Formation energy from raw total energies: -2.309 eV per atom
- Total DFT energy (no corrections): -7.40 eV per atom
- Space group: P-1

***

## Ti3NbRh (PBE-GGA)

Data for an optimized crystal structure of Ti3NbRh.

a = 4.655 Å, b = 4.655 Å, c = 4.655 Å
α = 90.00°, β = 90.00°, γ = 90.00°
Positions (direct):
Ti  0.500  0.000  0.000
Ti  0.000  0.000  0.500
Nb  0.500  0.500  0.500
Rh  0.000  0.000  0.000
Ti  0.000  0.500  0.000

- Total DFT energy (no corrections): -7.68 eV per atom
- Polymorph energy (0 for the lowest one): 831.6 meV per atom
- Space group: Pm-3m
- D(E_F): 11.3 states/eV/cell

***

What is the formula in the fourth record? Te2AsP

***

Look up the total DFT energy (no corrections) of the fifth one. -2.46 eV per atom

***

Which formula does entry 8 have? Ti3NbRh